No. 1
Entry from Alexandria: an optimized crystal structure of Ho2HgP (GGA-PBE).

excess energy over the best structure of this formula in the dataset = 0.044 eV per atom
total magnetization = 0.000 μB/f.u.
D(E_F) = 2.87 states/eV per cell

Lattice parameters (Å, degrees): 3.8779 3.8779 8.0424 76.05 76.05 60.00
Last column: nearest neighbours and their distance in Å.
Atoms (fractional coordinates):
Ho 0.0688 0.0688 0.7935  3 P 2.74
Ho 0.2644 0.2644 0.2067  3 P 2.76
Hg 0.4993 0.4993 0.5022  6 Ho 3.17-3.20
P 0.6675 0.6675 0.9976  6 Ho 2.74-2.76


No. 2
Entry from Alexandria: an optimized crystal structure of Ho2HgP (GGA-PBE).

excess energy over the best structure of this formula in the dataset = 0.000 eV per atom
total magnetization = 0.000 μB/f.u.
D(E_F) = 2.67 states/eV per cell

Lattice parameters (Å, degrees): 3.8815 3.8815 8.0242 76.00 76.00 60.00
Last column: nearest neighbours and their distance in Å.
Atoms (fractional coordinates):
P 0.0000 0.0000 0.0000  6 Ho 2.75
Hg 0.5000 0.5000 0.5000  6 Ho 3.18
Ho 0.7358 0.7358 0.7925  3 P 2.75
Ho 0.2642 0.2642 0.2075  3 P 2.75


No. 3
Entry from Alexandria: an optimized crystal structure of Ho6HgP3S2 (GGA-PBE).

formation energy (no corrections) = -1.5414 eV/atom
total magnetization = 0.000 μB/f.u.
D(E_F) = 4.25 states/eV per cell

Lattice parameters (Å, degrees): 3.9662 8.0850 8.9191 102.19 102.85 90.00
Last column: nearest neighbours and their distance in Å.
Atoms (fractional coordinates):
Ho 0.3251 0.9115 0.6502  3 P 2.71-2.83, 2 S 2.86, 1 Hg 2.97
Ho 0.6653 0.5913 0.3307  3 P 2.80-2.81, 3 S 2.80-2.85
Ho 0.6749 0.0885 0.3498  3 P 2.71-2.83, 2 S 2.86, 1 Hg 2.97
Ho 0.0021 0.2725 0.0042  3 P 2.71-2.85, 1 S 2.85, 2 Hg 2.96
Ho 0.9979 0.7275 0.9958  3 P 2.71-2.85, 1 S 2.85, 2 Hg 2.96
Ho 0.3347 0.4087 0.6693  3 P 2.80-2.81, 3 S 2.80-2.85
Hg 0.5000 0.0000 0.0000  6 Ho 2.96-2.97
P 0.5000 0.5000 0.0000  6 Ho 2.71-2.81
P 0.8347 0.1650 0.6694  6 Ho 2.71-2.85
P 0.1653 0.8350 0.3306  6 Ho 2.71-2.85
S 0.8301 0.6587 0.6602  6 Ho 2.80-2.86
S 0.1699 0.3413 0.3398  6 Ho 2.80-2.86


No. 4
Entry from Alexandria: an optimized crystal structure of Ho6HgP2Se3 (GGA-PBE).

formation energy (no corrections) = -1.5020 eV/atom
total magnetization = 0.000 μB/f.u.
D(E_F) = 4.72 states/eV per cell

Lattice parameters (Å, degrees): 4.0113 8.2916 9.1234 102.93 102.70 90.00
Last column: nearest neighbours and their distance in Å.
Atoms (fractional coordinates):
Ho 0.3301 0.8972 0.6602  2 P 2.80, 3 Se 2.84-3.00, 1 Hg 2.95
Ho 0.6725 0.5721 0.3450  3 P 2.76-2.78, 3 Se 2.96-2.99
Ho 0.6699 0.1028 0.3398  2 P 2.80, 3 Se 2.84-3.00, 1 Hg 2.95
Ho 0.0063 0.2615 0.0125  1 P 2.81, 3 Se 2.84-2.99, 2 Hg 2.94
Ho 0.9937 0.7385 0.9875  1 P 2.81, 3 Se 2.84-2.99, 2 Hg 2.94
Ho 0.3275 0.4279 0.6550  3 P 2.76-2.78, 3 Se 2.96-2.99
Hg 0.5000 0.0000 0.0000  6 Ho 2.94-2.95
P 0.8318 0.6625 0.6637  6 Ho 2.76-2.81
P 0.1682 0.3375 0.3363  6 Ho 2.76-2.81
Se 0.5000 0.5000 0.0000  6 Ho 2.84-2.99
Se 0.8335 0.1679 0.6670  6 Ho 2.84-3.00
Se 0.1665 0.8321 0.3330  6 Ho 2.84-3.00


No. 5
Entry from Alexandria: an optimized crystal structure of Ho4Hg2PSe (GGA-PBE).

formation energy (no corrections) = -1.0552 eV/atom
total magnetization = 0.000 μB/f.u.
D(E_F) = 3.69 states/eV per cell

Lattice parameters (Å, degrees): 3.9167 6.7718 7.9747 106.40 90.00 90.00
Last column: nearest neighbours and their distance in Å.
Atoms (fractional coordinates):
Ho 0.5000 0.2286 0.2146  2 P 2.77, 1 Se 2.84, 1 Hg 3.09
Ho 0.5000 0.7714 0.7854  2 P 2.77, 1 Se 2.84, 1 Hg 3.09
Ho 0.0000 0.2499 0.7799  1 P 2.76, 2 Se 2.85, 2 Hg 3.09
Ho 0.0000 0.7501 0.2201  1 P 2.76, 2 Se 2.85, 2 Hg 3.09
Hg 0.5000 0.0000 0.5000  6 Ho 3.09
Hg 0.0000 0.5000 0.5000  6 Ho 3.16-3.17
P 0.0000 0.0000 0.0000  6 Ho 2.76-2.77
Se 0.5000 0.5000 0.0000  6 Ho 2.84-2.85


No. 6
Entry from Alexandria: an optimized crystal structure of Ho4HgPSe2 (GGA-PBE).

formation energy (no corrections) = -1.3569 eV/atom
total magnetization = 0.000 μB/f.u.
D(E_F) = 4.56 states/eV per cell

Lattice parameters (Å, degrees): 4.0122 7.1367 7.1955 71.48 90.00 90.00
Last column: nearest neighbours and their distance in Å.
Atoms (fractional coordinates):
Ho 0.0000 0.7504 0.7376  1 P 2.84, 3 Se 2.86-2.98, 2 Hg 2.94
Ho 0.0000 0.2496 0.2624  1 P 2.84, 3 Se 2.86-2.98, 2 Hg 2.94
Ho 0.5000 0.7377 0.2666  2 P 2.81, 3 Se 2.89-2.99, 1 Hg 2.94
Ho 0.5000 0.2623 0.7334  2 P 2.81, 3 Se 2.89-2.99, 1 Hg 2.94
Hg 0.5000 0.5000 0.0000  6 Ho 2.94
P 0.0000 0.5000 0.5000  6 Ho 2.81-2.84
Se 0.0000 0.0000 0.0000  6 Ho 2.98-2.99
Se 0.5000 0.0000 0.5000  6 Ho 2.86-2.89


No. 7
Entry from Alexandria: an optimized crystal structure of HoPaHg (GGA-PBE).

excess energy over the best structure of this formula in the dataset = 0.140 eV per atom
total magnetization = 0.525 μB/f.u.
D(E_F) = 5.11 states/eV per cell

Lattice parameters (Å, degrees): 3.2658 3.2658 7.5936 102.42 102.42 90.00
Last column: nearest neighbours and their distance in Å.
Atoms (fractional coordinates):
Pa 0.0035 0.0035 0.0071  4 Pa 3.27, 4 Hg 3.34, 4 Ho 3.45
Hg 0.6705 0.6705 0.3410  4 Ho 3.22, 4 Hg 3.27, 4 Pa 3.34
Ho 0.3260 0.3260 0.6520  4 Hg 3.22, 4 Ho 3.27, 4 Pa 3.45


No. 8
Entry from Alexandria: an optimized crystal structure of HoPaHg (GGA-PBE).

excess energy over the best structure of this formula in the dataset = 0.000 eV per atom
total magnetization = 0.000 μB/f.u.
D(E_F) = 8.81 states/eV per cell

Lattice parameters (Å, degrees): 3.3019 5.2773 8.9798 90.00 100.59 90.00
Last column: nearest neighbours and their distance in Å.
Atoms (fractional coordinates):
Hg 0.4352 0.2500 0.8703  6 Ho 3.15-3.20, 4 Hg 3.30-3.49, 2 Pa 3.38
Hg 0.5648 0.7500 0.1297  6 Ho 3.15-3.20, 4 Hg 3.30-3.49, 2 Pa 3.38
Ho 0.9094 0.7500 0.8188  6 Hg 3.15-3.20, 2 Ho 3.30
Ho 0.0906 0.2500 0.1812  6 Hg 3.15-3.20, 2 Ho 3.30
Pa 0.7680 0.2500 0.5360  6 Pa 3.18-3.30, 2 Hg 3.38, 2 Ho 3.54
Pa 0.2320 0.7500 0.4640  6 Pa 3.18-3.30, 2 Hg 3.38, 2 Ho 3.54


No. 9
Entry from Alexandria: an optimized crystal structure of Ho2PaHg (GGA-PBE).

excess energy over the best structure of this formula in the dataset = 0.000 eV per atom
total magnetization = 0.117 μB/f.u.
D(E_F) = 4.27 states/eV per cell

Lattice parameters (Å, degrees): 3.4505 3.4505 8.8770 90.00 90.00 90.00
Last column: nearest neighbours and their distance in Å.
Atoms (fractional coordinates):
Pa 0.5000 0.5000 0.5000  8 Ho 3.38, 4 Pa 3.45
Hg 0.5000 0.5000 0.0000  8 Ho 3.22, 4 Hg 3.45
Ho 0.0000 0.0000 0.7639  4 Hg 3.22, 4 Pa 3.38, 4 Ho 3.45
Ho 0.0000 0.0000 0.2361  4 Hg 3.22, 4 Pa 3.38, 4 Ho 3.45


No. 10
Entry from Alexandria: an optimized crystal structure of Ho2PaHg (GGA-PBE).

excess energy over the best structure of this formula in the dataset = 0.319 eV per atom
total magnetization = 0.000 μB/f.u.
D(E_F) = 5.91 states/eV per cell

Lattice parameters (Å, degrees): 3.3000 3.3000 11.7173 81.90 81.90 60.00
Last column: nearest neighbours and their distance in Å.
Atoms (fractional coordinates):
Pa 0.0000 0.0000 0.0000  2 Ho 3.23, 6 Pa 3.30
Hg 0.5000 0.5000 0.5000  6 Ho 3.19, 6 Hg 3.30
Ho 0.0930 0.0930 0.7210  3 Hg 3.19, 1 Pa 3.23, 6 Ho 3.30
Ho 0.9070 0.9070 0.2790  3 Hg 3.19, 1 Pa 3.23, 6 Ho 3.30


No. 11
Entry from Alexandria: an optimized crystal structure of HoPaHgPd (GGA-PBE).

total energy = -20.6 eV/f.u.
total magnetization = 0.441 μB/f.u.
D(E_F) = 5.47 states/eV per cell

Lattice parameters (Å, degrees): 5.1106 5.1106 5.1106 60.00 60.00 60.00
Last column: nearest neighbours and their distance in Å.
Atoms (fractional coordinates):
Pa 0.7500 0.7500 0.7500  4 Hg 3.13, 4 Pd 3.13
Hg 0.5000 0.5000 0.5000  4 Ho 3.13, 4 Pa 3.13
Pd 0.0000 0.0000 0.0000  4 Ho 3.13, 4 Pa 3.13
Ho 0.2500 0.2500 0.2500  4 Hg 3.13, 4 Pd 3.13


No. 12
Entry from Alexandria: an optimized crystal structure of HoPaTlHg (GGA-PBE).

total energy = -16.7 eV/f.u.
total magnetization = 1.938 μB/f.u.
D(E_F) = 9.50 states/eV per cell

Lattice parameters (Å, degrees): 5.3235 5.3235 5.3235 60.00 60.00 60.00
Last column: nearest neighbours and their distance in Å.
Atoms (fractional coordinates):
Tl 0.0000 0.0000 0.0000  4 Ho 3.26, 4 Pa 3.26
Pa 0.2500 0.2500 0.2500  4 Hg 3.26, 4 Tl 3.26
Hg 0.5000 0.5000 0.5000  4 Ho 3.26, 4 Pa 3.26
Ho 0.7500 0.7500 0.7500  4 Tl 3.26, 4 Hg 3.26